A geometry-optimized InAg3 structure. Source: the Alexandria database, functional PBE-GGA.

It has space group P6_3/mmc (No. 194), with a = 6.0311 Å, b = 6.0311 Å, c = 4.8276 Å, α = 90.00°, β = 90.00° and γ = 120.00°. The inequivalent atoms are In at (0.3333, 0.6667, 0.2500) and Ag at (0.1645, 0.3290, 0.7500).

The formation energy is -0.019 eV per atom. For the energy, the calculation gives -22.74 eV per cell. The value obtained for the density of states at the Fermi level is 0.506 states/eV/atom.

***

A geometry-optimized Ba2Be structure. Source: the Alexandria database, functional PBE-GGA.

It has space group P-3m1 (No. 164), with a = 5.3233 Å, b = 5.3233 Å, c = 5.0736 Å, α = 90.00°, β = 90.00° and γ = 120.00°. The inequivalent atoms are Ba at (0.3333, 0.6667, 0.2444) and Be at (0.0000, 0.0000, 0.5000).

The value obtained for the polymorph energy (0 for the lowest one) is 179 meV per atom. The formation energy is 0.537 eV per atom. For the energy, the calculation gives -5.96 eV per cell. The value obtained for the density of states at the Fermi level is 1.371 states/eV/atom.

***

A geometry-optimized MnPCS structure. Source: the Alexandria database, functional PBE-GGA.

It has space group Cm (No. 8), with a = 6.893 Å, b = 2.936 Å, c = 5.244 Å, α = 90.00°, β = 112.58° and γ = 90.00°. The inequivalent atoms are Mn at (0.000, 0.000, 0.000), P at (0.205, 0.000, 0.771), C at (0.248, 0.500, 0.608) and S at (0.239, 0.500, 0.256).

The value obtained for the polymorph energy (0 for the lowest one) is 0 meV per atom. For the energy, the calculation gives -54.87 eV per cell. For the uncorrected formation energy, the calculation gives 124 meV per atom. The value obtained for the density of states at the Fermi level is 0.004 states/eV/atom.

***

A geometry-optimized YSi2Ge2Pt7 structure. Source: the Alexandria database, functional PBE-GGA.

It has space group C2/m (No. 12), with a = 5.579 Å, b = 5.559 Å, c = 14.575 Å, α = 90.00°, β = 96.18° and γ = 90.00°. The inequivalent atoms are Y at (0.000, 0.000, 0.000), Si at (0.074, 0.500, 0.250), Ge at (0.152, 0.000, 0.423), Pt at (0.000, 0.500, 0.000), Pt at (0.099, 0.500, 0.411) and Pt at (0.204, 0.250, 0.845).

For the energy, the calculation gives -152.21 eV per cell. For the uncorrected formation energy, the calculation gives -606 meV per atom. The value obtained for the density of states at the Fermi level is 0.355 states/eV/atom.

***

Question: What is the energy in the second record?
Answer: -5.96 eV per cell

***

Repeat the fourth record exactly.
A geometry-optimized YSi2Ge2Pt7 structure. Source: the Alexandria database, functional PBE-GGA.

It has space group C2/m (No. 12), with a = 5.579 Å, b = 5.559 Å, c = 14.575 Å, α = 90.00°, β = 96.18° and γ = 90.00°. The inequivalent atoms are Y at (0.000, 0.000, 0.000), Si at (0.074, 0.500, 0.250), Ge at (0.152, 0.000, 0.423), Pt at (0.000, 0.500, 0.000), Pt at (0.099, 0.500, 0.411) and Pt at (0.204, 0.250, 0.845).

For the energy, the calculation gives -152.21 eV per cell. For the uncorrected formation energy, the calculation gives -606 meV per atom. The value obtained for the density of states at the Fermi level is 0.355 states/eV/atom.

***

Question: Look up the energy of the first one.
Answer: -22.74 eV per cell